1:
3
Lattice="-1.092 -2.453 -2.392 3.253 -1.530 0.085 -2.920 -1.664 5.741" Properties=species:S:1:pos:R:3 comment="GGA-PBE TbHoAu, relaxed" volume_a3_per_atom=26.49 m_tot_mub_per_cell=0.8 pbc="T T T"
Au 0.457 -3.230 0.401
Tb -0.075 -0.149 0.187
Ho -1.141 -2.268 2.846

2:
12
Lattice="-5.322 0.695 4.785 2.766 -5.028 3.807 3.668 4.714 3.395" Properties=species:S:1:pos:R:3 comment="GGA-PBE TbHoAu, relaxed" volume_a3_per_atom=28.35 m_tot_mub_per_cell=0.0 pbc="T T T"
Au -0.348 0.600 9.908
Au 1.050 2.430 5.795
Au 1.461 -0.220 2.079
Tb 0.208 -2.630 3.331
Tb 2.059 -0.275 5.014
Ho -0.949 0.901 3.245
Ho 2.062 -0.520 8.742
Au 0.063 -2.050 6.192
Ho 2.590 3.035 3.410
Ho -1.477 -2.654 8.577
Tb -0.946 0.656 6.973
Tb 0.905 3.011 8.656

The calculated energies rank the structures as follows, beginning with the most stable: 1, 2.

1:
12
Lattice="7.050 0.000 0.000 0.000 7.333 0.000 -3.525 -3.667 6.942" Properties=species:S:1:pos:R:3 comment="GGA-PBE Tb3HoAu2, relaxed" volume_a3_per_atom=29.91 m_tot_mub_per_cell=0.0 pbc="T T T"
Ho 0.000 3.667 0.000
Tb 0.000 1.833 3.227
Tb 3.525 1.833 0.000
Tb 3.525 5.500 0.000
Au 4.975 0.000 1.957
Au 2.075 3.667 1.957
Ho 0.000 0.000 0.000
Au 1.450 0.000 4.985
Tb 0.000 5.500 3.227
Tb 3.525 1.833 3.715
Tb 3.525 -1.833 3.715
Au -1.450 3.667 4.985

2:
12
Lattice="-3.940 -1.447 -2.695 3.518 -5.828 -2.014 -3.250 -4.424 7.127" Properties=species:S:1:pos:R:3 comment="GGA-PBE Tb3HoAu2, relaxed" volume_a3_per_atom=26.54 m_tot_mub_per_cell=0.0 pbc="T T T"
Ho -2.034 -6.241 1.709
Au -1.626 -2.800 -0.735
Tb 0.149 -3.511 1.667
Ho -3.316 -2.678 1.670
Tb -0.229 -5.257 -1.458
Au -2.118 -8.779 3.195
Tb 3.238 -6.090 -1.464
Tb 0.821 -7.904 3.044
Au 1.541 -5.970 0.952
Tb -4.145 -5.279 4.279
Tb -1.291 -6.946 5.616
Au -1.203 -4.398 4.121

The calculated energies rank the structures as follows, beginning with the most stable: 2, 1.